First-principles (PBE) data for an optimized crystal structure of SrH5Rh, as listed in Alexandria via LeMat-Bulk.

Structure (POSCAR):
```
SrH5Rh
1.0
-1.790 2.736 3.562
1.790 -2.736 3.562
1.790 2.736 -3.562
Sr H Rh
1 5 1
direct
0.000 0.000 0.000
0.118 0.340 0.779
0.439 0.660 0.779
0.500 0.000 0.500
0.561 0.340 0.221
0.882 0.660 0.221
0.500 0.500 0.000
```

Computed properties:
Electronic total energy   -0.1474 hartree per atom
Size of the total moment   0.09 μB per cell